1.
The following is a DFT calculation (PBE-GGA) of a relaxed CaTm2HfO6 crystal. Values from VASP.

```
&SYSTEM
  ibrav = 0, nat = 10, ntyp = 4
/
ATOMIC_SPECIES
Ca 40.08 Ca.upf
Tm 168.93 Tm.upf
Hf 178.49 Hf.upf
O 16.00 O.upf
CELL_PARAMETERS angstrom
-0.939 -5.495 -1.001
4.241 -3.727 0.455
-0.018 -3.760 4.633
ATOMIC_POSITIONS crystal
Ca 0.803 0.803 0.592
Tm 0.524 0.524 0.427
Tm 0.021 0.021 0.938
Hf 0.315 0.315 0.056
O 0.596 0.223 0.240
O 0.223 0.941 0.240
O 0.941 0.596 0.240
O 0.395 0.700 0.761
O 0.700 0.143 0.761
O 0.143 0.395 0.761
```

## Properties
Formation energy from raw total energies, eV per atom: -3.49
Calculated density, g cm⁻³: 7.81
Total DFT energy (no corrections), eV per formula unit: -85.6
Symmetry: No. 146
M_tot, μB per cell: 0.00

***

2.
The following is a DFT calculation (PBE-GGA) of a relaxed AlMoP crystal. Values from VASP.

```
&SYSTEM
  ibrav = 0, nat = 3, ntyp = 3
/
ATOMIC_SPECIES
P 30.97 P.upf
Mo 95.94 Mo.upf
Al 26.98 Al.upf
CELL_PARAMETERS angstrom
-0.349 -3.054 -2.648
2.219 -0.003 -3.397
3.032 -2.660 -0.440
ATOMIC_POSITIONS crystal
P 0.750 0.750 0.750
Mo 0.500 0.500 0.500
Al 0.000 0.000 0.000
```

## Properties
Calculated density, g cm⁻³: 5.41
Total DFT energy (no corrections), eV per formula unit: -20.0
Symmetry: No. 216
Energy of formation, eV per atom: -0.02
M_tot, μB per cell: 0.00

***

3.
The following is a DFT calculation (PBE-GGA) of a relaxed SnPtF2 crystal. Values from VASP.

```
&SYSTEM
  ibrav = 0, nat = 8, ntyp = 3
/
ATOMIC_SPECIES
Sn 118.71 Sn.upf
Pt 195.08 Pt.upf
F 19.00 F.upf
CELL_PARAMETERS angstrom
3.902 0.000 0.000
0.000 3.902 0.000
1.951 1.951 8.124
ATOMIC_POSITIONS crystal
Sn 0.500 0.500 0.000
Sn 0.250 0.750 0.500
Pt 0.000 0.000 0.000
Pt 0.750 0.250 0.500
F 0.627 0.125 0.250
F 0.123 0.625 0.250
F 0.375 0.373 0.750
F 0.875 0.877 0.750
```

## Properties
Formation energy from raw total energies, eV per atom: -1.03
Calculated density, g cm⁻³: 9.45
Total DFT energy (no corrections), eV per formula unit: -17.9
Distance to the lowest polymorph of the same formula, meV/atom: 0
Symmetry: No. 122
M_tot, μB per cell: 0.00

***

4.
The following is a DFT calculation (PBE-GGA) of a relaxed CsMgCrCd2 crystal. Values from VASP.

```
&SYSTEM
  ibrav = 0, nat = 5, ntyp = 4
/
ATOMIC_SPECIES
Cs 132.91 Cs.upf
Cr 52.00 Cr.upf
Mg 24.30 Mg.upf
Cd 112.41 Cd.upf
CELL_PARAMETERS angstrom
6.593 0.000 0.000
0.000 5.762 0.000
0.000 0.000 6.593
ATOMIC_POSITIONS crystal
Cs 0.000 0.000 0.000
Cr 0.000 0.500 0.000
Mg 0.500 0.500 0.500
Cd 0.000 0.000 0.500
Cd 0.500 0.000 0.000
```

## Properties
Calculated density, g cm⁻³: 2.88
Total DFT energy (no corrections), eV per formula unit: -7.4
Symmetry: No. 123
Energy of formation, eV per atom: 1.31
M_tot, μB per cell: 5.22

***

5.
The following is a DFT calculation (PBE-GGA) of a relaxed Ba2SnSe5 crystal. Values from VASP.

```
&SYSTEM
  ibrav = 0, nat = 8, ntyp = 3
/
ATOMIC_SPECIES
Ba 137.33 Ba.upf
Sn 118.71 Sn.upf
Se 78.96 Se.upf
CELL_PARAMETERS angstrom
7.690 0.000 0.000
0.000 7.852 0.020
-3.845 -3.914 4.232
ATOMIC_POSITIONS crystal
Ba 0.280 0.801 0.560
Ba 0.780 0.287 0.560
Sn 0.965 0.943 0.931
Se 0.800 0.303 0.088
Se 0.288 0.303 0.088
Se 0.773 0.791 0.051
Se 0.278 0.791 0.051
Se 0.613 0.558 0.226
```

## Properties
Formation energy from raw total energies, eV per atom: -1.12
Calculated density, g cm⁻³: 5.11
Total DFT energy (no corrections), eV per formula unit: -34.2
Distance to the lowest polymorph of the same formula, meV/atom: 90
Symmetry: No. 8
M_tot, μB per cell: 0.00

***

6.
The following is a DFT calculation (PBE-GGA) of a relaxed Na2CdBi crystal. Values from VASP.

```
&SYSTEM
  ibrav = 0, nat = 4, ntyp = 3
/
ATOMIC_SPECIES
Na 22.99 Na.upf
Bi 208.98 Bi.upf
Cd 112.41 Cd.upf
CELL_PARAMETERS angstrom
3.511 0.000 0.000
1.756 3.041 0.000
1.756 1.014 11.361
ATOMIC_POSITIONS crystal
Na 0.091 0.091 0.727
Na 0.909 0.909 0.273
Bi 0.000 0.000 0.000
Cd 0.500 0.500 0.500
```

## Properties
Calculated density, g cm⁻³: 5.03
Total DFT energy (no corrections), eV per formula unit: -7.5
Distance to the lowest polymorph of the same formula, meV/atom: 220
Symmetry: No. 166
Energy of formation, eV per atom: -0.01
M_tot, μB per cell: 0.00

***

7.
The following is a DFT calculation (PBE-GGA) of a relaxed CuRe2H crystal. Values from VASP.

```
&SYSTEM
  ibrav = 0, nat = 8, ntyp = 3
/
ATOMIC_SPECIES
Re 186.21 Re.upf
Cu 63.55 Cu.upf
H 1.01 H.upf
CELL_PARAMETERS angstrom
-4.599 -3.625 0.068
2.575 -3.343 -4.061
0.158 -4.932 -0.062
ATOMIC_POSITIONS crystal
Re 0.526 0.125 0.250
Re 0.224 0.625 0.250
Re 0.375 0.474 0.750
Re 0.875 0.776 0.750
Cu 0.000 0.000 0.000
Cu 0.750 0.250 0.500
H 0.500 0.500 0.000
H 0.250 0.750 0.500
```

## Properties
Calculated density, g cm⁻³: 15.76
Total DFT energy (no corrections), eV per formula unit: -30.1
Distance to the lowest polymorph of the same formula, meV/atom: 0
Symmetry: No. 122
M_tot, μB per cell: 0.00

***

8.
The following is a DFT calculation (PBE-GGA) of a relaxed AgIrI2O crystal. Values from VASP.

```
&SYSTEM
  ibrav = 0, nat = 5, ntyp = 4
/
ATOMIC_SPECIES
I 126.90 I.upf
Ir 192.22 Ir.upf
O 16.00 O.upf
Ag 107.87 Ag.upf
CELL_PARAMETERS angstrom
5.681 0.000 0.000
0.000 5.681 0.000
0.000 0.000 3.753
ATOMIC_POSITIONS crystal
I 0.000 0.500 0.000
I 0.500 0.000 0.000
Ir 0.000 0.000 0.000
O 0.000 0.000 0.500
Ag 0.500 0.500 0.500
```

## Properties
Formation energy from raw total energies, eV per atom: 0.01
Calculated density, g cm⁻³: 7.81
Total DFT energy (no corrections), eV per formula unit: -19.7
Distance to the lowest polymorph of the same formula, meV/atom: 0
Symmetry: No. 123
M_tot, μB per cell: 0.00

***

9.
The following is a DFT calculation (PBE-GGA) of a relaxed AgSbW crystal. Values from VASP.

```
&SYSTEM
  ibrav = 0, nat = 3, ntyp = 3
/
ATOMIC_SPECIES
Sb 121.76 Sb.upf
Ag 107.87 Ag.upf
W 183.84 W.upf
CELL_PARAMETERS angstrom
-1.516 1.221 -2.426
-0.396 -2.997 0.732
-5.384 1.747 4.243
ATOMIC_POSITIONS crystal
Sb 0.667 0.333 0.356
Ag 0.000 0.000 0.983
W 0.333 0.667 0.661
```

## Properties
Formation energy from raw total energies, eV per atom: 0.69
Calculated density, g cm⁻³: 11.58
Total DFT energy (no corrections), eV per formula unit: -17.9
Distance to the lowest polymorph of the same formula, meV/atom: 0
Symmetry: No. 156
M_tot, μB per cell: 0.00

***

10.
The following is a DFT calculation (PBE-GGA) of a relaxed LaTaBr crystal. Values from VASP.

```
&SYSTEM
  ibrav = 0, nat = 3, ntyp = 3
/
ATOMIC_SPECIES
La 138.91 La.upf
Br 79.90 Br.upf
Ta 180.95 Ta.upf
CELL_PARAMETERS angstrom
3.308 0.000 0.000
-1.654 2.865 0.000
0.000 0.000 7.781
ATOMIC_POSITIONS crystal
La 0.333 0.667 0.349
Br 0.000 0.000 0.947
Ta 0.667 0.333 0.703
```

## Properties
Formation energy from raw total energies, eV per atom: 0.09
Calculated density, g cm⁻³: 9.00
Total DFT energy (no corrections), eV per formula unit: -18.2
Distance to the lowest polymorph of the same formula, meV/atom: 0
Symmetry: No. 156
M_tot, μB per cell: 0.00

***

11.
The following is a DFT calculation (PBE-GGA) of a relaxed Cs2NaReI6 crystal. Values from VASP.

```
&SYSTEM
  ibrav = 0, nat = 10, ntyp = 4
/
ATOMIC_SPECIES
Cs 132.91 Cs.upf
Re 186.21 Re.upf
I 126.90 I.upf
Na 22.99 Na.upf
CELL_PARAMETERS angstrom
-6.323 -2.753 -4.813
4.834 0.840 -6.831
1.178 -6.549 -5.149
ATOMIC_POSITIONS crystal
Cs 0.750 0.250 0.500
Cs 0.250 0.750 0.500
Re 0.000 0.000 0.000
I 0.232 0.232 0.536
I 0.768 0.768 0.464
I 0.232 0.232 0.000
I 0.768 0.768 0.000
I 0.768 0.232 0.000
I 0.232 0.768 0.000
Na 0.500 0.500 0.000
```

## Properties
Formation energy from raw total energies, eV per atom: -0.73
Calculated density, g cm⁻³: 4.88
Total DFT energy (no corrections), eV per formula unit: -32.1
Symmetry: No. 225
M_tot, μB per cell: 2.00

***

12.
The following is a DFT calculation (PBE-GGA) of a relaxed Sm2Al3Au4 crystal. Values from VASP.

```
&SYSTEM
  ibrav = 0, nat = 18, ntyp = 3
/
ATOMIC_SPECIES
Sm 150.36 Sm.upf
Al 26.98 Al.upf
Au 196.97 Au.upf
CELL_PARAMETERS angstrom
5.890 0.000 0.000
0.000 7.797 0.000
-2.945 0.000 7.895
ATOMIC_POSITIONS crystal
Sm 0.107 0.594 0.214
Sm 0.893 0.406 0.786
Sm 0.393 0.094 0.786
Sm 0.607 0.906 0.214
Al 0.000 0.000 0.000
Al 0.500 0.500 0.000
Al 0.522 0.750 0.543
Al 0.978 0.250 0.457
Al 0.478 0.250 0.457
Al 0.022 0.750 0.543
Au 0.691 0.750 0.883
Au 0.809 0.250 0.117
Au 0.309 0.250 0.117
Au 0.191 0.750 0.883
Au 0.182 0.974 0.364
Au 0.818 0.026 0.636
Au 0.318 0.474 0.636
Au 0.682 0.526 0.364
```

## Properties
Calculated density, g cm⁻³: 10.71
Total DFT energy (no corrections), eV per formula unit: -40.0
Symmetry: No. 64
Energy of formation, eV per atom: -0.69
M_tot, μB per cell: 0.00

***

13.
The following is a DFT calculation (PBE-GGA) of a relaxed TbHo7Th3 crystal. Values from VASP.

```
&SYSTEM
  ibrav = 0, nat = 11, ntyp = 3
/
ATOMIC_SPECIES
Tb 158.93 Tb.upf
Ho 164.93 Ho.upf
Th 232.04 Th.upf
CELL_PARAMETERS angstrom
-7.137 4.628 -0.306
-1.519 -1.905 6.614
3.814 5.802 -1.208
ATOMIC_POSITIONS crystal
Tb 0.455 0.333 0.667
Ho 0.115 0.168 0.832
Ho 0.115 0.168 0.336
Ho 0.112 0.667 0.333
Ho 0.451 0.832 0.168
Ho 0.451 0.336 0.168
Ho 0.451 0.832 0.664
Ho 0.115 0.664 0.832
Th 0.784 0.500 0.500
Th 0.784 0.500 0.001
Th 0.784 0.999 0.500
```

## Properties
Calculated density, g cm⁻³: 9.11
Total DFT energy (no corrections), eV per formula unit: -56.6
Distance to the lowest polymorph of the same formula, meV/atom: 57
Symmetry: No. 156
Energy of formation, eV per atom: 0.21
M_tot, μB per cell: 0.00

***

14.
The following is a DFT calculation (PBE-GGA) of a relaxed IrSeF2 crystal. Values from VASP.

```
&SYSTEM
  ibrav = 0, nat = 4, ntyp = 3
/
ATOMIC_SPECIES
Ir 192.22 Ir.upf
Se 78.96 Se.upf
F 19.00 F.upf
CELL_PARAMETERS angstrom
1.576 0.000 10.032
-0.788 1.365 10.032
-0.788 -1.365 10.032
ATOMIC_POSITIONS crystal
Ir 0.000 0.000 0.000
Se 0.500 0.500 0.500
F 0.937 0.937 0.937
F 0.063 0.063 0.063
```

## Properties
Formation energy from raw total energies, eV per atom: -0.59
Calculated density, g cm⁻³: 7.93
Total DFT energy (no corrections), eV per formula unit: -18.5
Distance to the lowest polymorph of the same formula, meV/atom: 0
Symmetry: No. 166
M_tot, μB per cell: 0.00

***

15.
The following is a DFT calculation (PBE-GGA) of a relaxed Nd3Dy3Er5 crystal. Values from VASP.

```
&SYSTEM
  ibrav = 0, nat = 11, ntyp = 3
/
ATOMIC_SPECIES
Nd 144.24 Nd.upf
Dy 162.50 Dy.upf
Er 167.26 Er.upf
CELL_PARAMETERS angstrom
5.448 0.000 0.000
0.000 9.627 0.000
0.000 -4.814 8.338
ATOMIC_POSITIONS crystal
Nd 0.500 0.633 0.633
Nd 0.500 0.000 0.367
Nd 0.500 0.367 0.000
Dy 0.000 0.452 0.452
Dy 0.000 0.548 0.000
Dy 0.000 0.000 0.548
Er 0.500 0.333 0.667
Er 0.500 0.667 0.333
Er 0.500 0.266 0.266
Er 0.500 0.000 0.734
Er 0.500 0.734 0.000
```

## Properties
Calculated density, g cm⁻³: 6.67
Total DFT energy (no corrections), eV per formula unit: -42.0
Symmetry: No. 189
Energy of formation, eV per atom: 0.81
M_tot, μB per cell: 0.00

***

16.
The following is a DFT calculation (PBE-GGA) of a relaxed Cr2MoPt crystal. Values from VASP.

```
&SYSTEM
  ibrav = 0, nat = 4, ntyp = 3
/
ATOMIC_SPECIES
Cr 52.00 Cr.upf
Mo 95.94 Mo.upf
Pt 195.08 Pt.upf
CELL_PARAMETERS angstrom
-0.781 -3.176 -2.466
-2.372 -1.665 2.895
-2.688 1.640 -1.260
ATOMIC_POSITIONS crystal
Cr 0.000 0.000 0.000
Cr 0.500 0.500 0.000
Mo 0.500 0.000 0.500
Pt 0.000 0.500 0.500
```

## Properties
Calculated density, g cm⁻³: 11.53
Total DFT energy (no corrections), eV per formula unit: -36.3
Symmetry: No. 123
Energy of formation, eV per atom: -0.05
M_tot, μB per cell: 3.60

***

17.
The following is a DFT calculation (PBE-GGA) of a relaxed YGaSbI2 crystal. Values from VASP.

```
&SYSTEM
  ibrav = 0, nat = 5, ntyp = 4
/
ATOMIC_SPECIES
I 126.90 I.upf
Sb 121.76 Sb.upf
Y 88.91 Y.upf
Ga 69.72 Ga.upf
CELL_PARAMETERS angstrom
-5.555 1.842 -1.174
-1.554 -1.078 5.661
1.556 5.650 1.503
ATOMIC_POSITIONS crystal
I 0.000 0.500 0.000
I 0.500 0.000 0.000
Sb 0.000 0.000 0.500
Y 0.000 0.000 0.000
Ga 0.500 0.500 0.500
```

## Properties
Formation energy from raw total energies, eV per atom: -0.33
Calculated density, g cm⁻³: 4.12
Total DFT energy (no corrections), eV per formula unit: -18.4
Distance to the lowest polymorph of the same formula, meV/atom: 0
Symmetry: No. 123
M_tot, μB per cell: 0.89

***

18.
The following is a DFT calculation (PBE-GGA) of a relaxed BaTlCr4 crystal. Values from VASP.

```
&SYSTEM
  ibrav = 0, nat = 6, ntyp = 3
/
ATOMIC_SPECIES
Ba 137.33 Ba.upf
Tl 204.38 Tl.upf
Cr 52.00 Cr.upf
CELL_PARAMETERS angstrom
0.000 3.789 3.789
3.789 0.000 3.789
3.789 3.789 0.000
ATOMIC_POSITIONS crystal
Ba 0.000 0.000 0.000
Tl 0.750 0.750 0.750
Cr 0.909 0.364 0.364
Cr 0.364 0.364 0.909
Cr 0.364 0.909 0.364
Cr 0.364 0.364 0.364
```

## Properties
Calculated density, g cm⁻³: 8.39
Total DFT energy (no corrections), eV per formula unit: -36.4
Symmetry: No. 216
Energy of formation, eV per atom: 1.06
M_tot, μB per cell: 0.00

***

19.
The following is a DFT calculation (PBE-GGA) of a relaxed CuNi2Pb2 crystal. Values from VASP.

```
&SYSTEM
  ibrav = 0, nat = 10, ntyp = 3
/
ATOMIC_SPECIES
Pb 207.20 Pb.upf
Ni 58.69 Ni.upf
Cu 63.55 Cu.upf
CELL_PARAMETERS angstrom
-4.196 5.299 0.920
-5.374 -4.178 -0.445
0.121 -0.553 3.736
ATOMIC_POSITIONS crystal
Pb 0.172 0.672 0.500
Pb 0.672 0.828 0.500
Pb 0.828 0.328 0.500
Pb 0.328 0.172 0.500
Ni 0.368 0.868 0.000
Ni 0.868 0.632 0.000
Ni 0.632 0.132 0.000
Ni 0.132 0.368 0.000
Cu 0.000 0.000 0.000
Cu 0.500 0.500 0.000
```

## Properties
Calculated density, g cm⁻³: 11.24
Total DFT energy (no corrections), eV per formula unit: -22.0
Symmetry: No. 127
Energy of formation, eV per atom: 0.22
M_tot, μB per cell: 0.00

***

20.
The following is a DFT calculation (PBE-GGA) of a relaxed Pu2CuAu crystal. Values from VASP.

```
&SYSTEM
  ibrav = 0, nat = 4, ntyp = 3
/
ATOMIC_SPECIES
Au 196.97 Au.upf
Cu 63.55 Cu.upf
Pu 244.00 Pu.upf
CELL_PARAMETERS angstrom
4.297 0.000 0.000
0.000 4.503 0.000
0.000 0.000 4.503
ATOMIC_POSITIONS crystal
Au 0.500 0.000 0.000
Cu 0.500 0.500 0.500
Pu 0.000 0.000 0.500
Pu 0.000 0.500 0.000
```

## Properties
Calculated density, g cm⁻³: 14.27
Total DFT energy (no corrections), eV per formula unit: -36.5
Symmetry: No. 123
Energy of formation, eV per atom: -0.13
M_tot, μB per cell: 12.01